Entry from the Alexandria database: crystalline Sm2ErHgN at its relaxed geometry (PBE).

Computed properties:
* ΔE_f (raw): -858 meV/atom
* final energy: -26.92 eV per cell

Geometry as CIF:
```
data_Sm2ErHgN
_cell_length_a 4.957
_cell_length_b 4.957
_cell_length_c 4.727
_cell_angle_alpha 90.00
_cell_angle_beta 90.00
_cell_angle_gamma 90.00
_space_group_name_H-M_alt 'P 4/m m m'
_space_group_IT_number 123
_space_group_name_Hall '-P 4 2'
loop_
_atom_site_label
_atom_site_fract_x
_atom_site_fract_y
_atom_site_fract_z
Sm1 0.000 0.500 0.000
Er1 0.000 0.000 0.500
Hg1 0.500 0.500 0.500
N1 0.000 0.000 0.000
```